Record 1
Crystalline Be3PS at its relaxed geometry, computed with PBE.

Unit cell a=4.1295 b=4.1295 c=4.1295 alpha=90.00 beta=90.00 gamma=90.00
Fractional positions:
Be  0.0000  0.0000  0.5000
Be  0.0000  0.5000  0.0000
Be  0.5000  0.0000  0.0000
P  0.0000  0.0000  0.0000
S  0.5000  0.5000  0.5000

- DOS(E_F): 2.51 states/eV/cell
- Space group: Pm-3m, No. 221
- Size of the total moment: 0.0 μB per cell
- Uncorrected formation energy: 220 kJ/mol of formula units

---

Record 2
Crystalline DyFeIr at its relaxed geometry, computed with PBE.

Unit cell a=5.2541 b=5.2541 c=5.2541 alpha=122.70 beta=116.15 gamma=91.09
Fractional positions:
Dy  0.3722  0.1222  0.2500
Dy  0.6278  0.8778  0.7500
Fe  0.0000  0.0000  0.5000
Fe  0.0000  0.5000  0.0000
Ir  0.0000  0.5000  0.5000
Ir  0.5000  0.5000  0.0000

- DOS(E_F): 5.66 states/eV/cell
- Space group: Imma, No. 74
- Size of the total moment: 4.6 μB per cell
- Formation energy from the elements: -0.5517 eV/atom

---

Record 3
Crystalline ScFe2W2 at its relaxed geometry, computed with PBE.

Unit cell a=7.4165 b=7.4165 c=2.7210 alpha=90.00 beta=90.00 gamma=90.00
Fractional positions:
Sc  0.0000  0.0000  0.0000
Sc  0.5000  0.5000  0.0000
Fe  0.1456  0.3544  0.5000
Fe  0.3544  0.8544  0.5000
Fe  0.6456  0.1456  0.5000
Fe  0.8544  0.6456  0.5000
W  0.1457  0.6457  0.0000
W  0.3543  0.1457  0.0000
W  0.6457  0.8543  0.0000
W  0.8543  0.3543  0.0000

- DOS(E_F): 9.08 states/eV/cell
- Space group: P4/mbm, No. 127
- Size of the total moment: 0.0 μB per cell
- Formation energy from the elements: 0.2322 eV/atom

---

Record 4
Crystalline Th2FeC2 at its relaxed geometry, computed with PBE.

Unit cell a=6.1519 b=6.1519 c=6.7969 alpha=118.84 beta=118.84 gamma=51.26
Fractional positions:
Th  0.0492  0.0492  0.2996
Th  0.3150  0.3150  0.8820
Th  0.6850  0.6850  0.1180
Th  0.9508  0.9508  0.7004
Fe  0.3718  0.3718  0.3733
Fe  0.6282  0.6282  0.6267
C  0.1755  0.1755  0.0874
C  0.4864  0.4864  0.7067
C  0.5136  0.5136  0.2933
C  0.8245  0.8245  0.9126

- DOS(E_F): 6.09 states/eV/cell
- Space group: C2/m, No. 12
- Size of the total moment: 1.9 μB per cell
- Formation energy from the elements: -0.2465 eV/atom